Record 1
## Rb5Pu3O12 (GGA-PBE)

Data for an optimized crystal structure of Rb5Pu3O12.

Lattice parameters (Å, degrees): 11.3543 11.3543 3.4916 90.00 90.00 120.00
Space group P-62m (No. 189)
Asymmetric unit:
Rb 0.0000 0.7168 0.0000 [3 per cell]
Rb 0.3333 0.6667 0.0000 [2 per cell]
Pu 0.0000 0.3397 0.5000 [3 per cell]
O 0.0000 0.2251 0.0000 [3 per cell]
O 0.0000 0.4550 0.0000 [3 per cell]
O 0.1915 0.4317 0.5000 [6 per cell]

Magnetic moment in μB/atom: 0.25
Raw total energy in eV per formula unit: -153.3



Record 2
## RuS (GGA-PBE)

Data for an optimized crystal structure of RuS.

Lattice parameters (Å, degrees): 3.419 4.301 4.304 90.00 90.00 90.00
Space group Pmn2_1 (No. 31)
Asymmetric unit:
Ru 0.000 0.152 0.000 [2 per cell]
S 0.000 0.673 0.796 [2 per cell]

Magnetic moment in μB/atom: 0.00
Raw total energy in eV per formula unit: -13.9



> Number 2 is which compound?

RuS



What did the first record say?
## Rb5Pu3O12 (GGA-PBE)

Data for an optimized crystal structure of Rb5Pu3O12.

Lattice parameters (Å, degrees): 11.3543 11.3543 3.4916 90.00 90.00 120.00
Space group P-62m (No. 189)
Asymmetric unit:
Rb 0.0000 0.7168 0.0000 [3 per cell]
Rb 0.3333 0.6667 0.0000 [2 per cell]
Pu 0.0000 0.3397 0.5000 [3 per cell]
O 0.0000 0.2251 0.0000 [3 per cell]
O 0.0000 0.4550 0.0000 [3 per cell]
O 0.1915 0.4317 0.5000 [6 per cell]

Magnetic moment in μB/atom: 0.25
Raw total energy in eV per formula unit: -153.3



> What is the raw total energy in the first record?

-153.3 eV per formula unit



> What is the formula in the first record?

Rb5Pu3O12